DFT (PBE) results for a geometry-optimized SmScZnRh structure.

Lattice parameters (Å, degrees): 4.859 4.859 4.859 60.00 60.00 60.00
Sites, in units of the cell vectors:
Sc (0.000, 0.000, 0.000)
Zn (0.750, 0.750, 0.750)
Rh (0.250, 0.250, 0.250)
Sm (0.500, 0.500, 0.500)

## Properties
calculated volume	81.14	Å³ per cell
formation energy	-2.198	eV/f.u.

---

DFT (PBE) results for a geometry-optimized Pm3Si2HgPt9 structure.

Lattice parameters (Å, degrees): 5.707 5.707 11.245 90.00 90.00 120.00
Sites, in units of the cell vectors:
Pm (0.333, 0.667, 0.607)
Pm (0.000, 0.000, 0.000)
Pm (0.667, 0.333, 0.393)
Si (0.333, 0.667, 0.157)
Si (0.667, 0.333, 0.843)
Hg (0.000, 0.000, 0.500)
Pt (0.838, 0.162, 0.700)
Pt (0.838, 0.675, 0.700)
Pt (0.325, 0.162, 0.700)
Pt (0.675, 0.838, 0.300)
Pt (0.162, 0.325, 0.300)
Pt (0.162, 0.838, 0.300)
Pt (0.500, 0.000, 0.000)
Pt (0.000, 0.500, 0.000)
Pt (0.500, 0.500, 0.000)

## Properties
calculated volume	317.11	Å³ per cell
raw formation energy	-0.733	eV/atom

---

DFT (PBE) results for a geometry-optimized Zn6Ga8Hg structure.

Lattice parameters (Å, degrees): 6.721 6.721 6.721 75.22 75.22 75.22
Sites, in units of the cell vectors:
Zn (0.175, 0.358, 0.566)
Zn (0.434, 0.825, 0.642)
Zn (0.642, 0.434, 0.825)
Zn (0.358, 0.566, 0.175)
Zn (0.566, 0.175, 0.358)
Zn (0.825, 0.642, 0.434)
Ga (0.196, 0.545, 0.862)
Ga (0.138, 0.804, 0.455)
Ga (0.455, 0.138, 0.804)
Ga (0.791, 0.791, 0.791)
Ga (0.209, 0.209, 0.209)
Ga (0.545, 0.862, 0.196)
Ga (0.862, 0.196, 0.545)
Ga (0.804, 0.455, 0.138)
Hg (0.000, 0.000, 0.000)

## Properties
calculated volume	277.93	Å³ per cell
formation energy	0.868	eV/f.u.

---

DFT (PBE) results for a geometry-optimized TmAlCuNi structure.

Lattice parameters (Å, degrees): 4.215 4.218 4.985 114.93 90.00 119.98
Sites, in units of the cell vectors:
Tm (0.615, 0.230, 0.487)
Al (0.124, 0.248, 0.014)
Cu (0.406, 0.812, 0.859)
Ni (0.822, 0.643, 0.107)

## Properties
calculated volume	67.05	Å³ per cell
formation energy	-1.895	eV/f.u.

---

DFT (PBE) results for a geometry-optimized ScNiBr2 structure.

Lattice parameters (Å, degrees): 7.574 7.574 7.574 152.89 150.32 40.63
Sites, in units of the cell vectors:
Br (0.972, 0.972, 0.000)
Br (0.737, 0.237, 0.500)
Ni (0.457, 0.457, 0.000)
Sc (0.334, 0.834, 0.500)

## Properties
calculated volume	97.83	Å³ per cell
raw formation energy	-0.642	eV/atom

---

DFT (PBE) results for a geometry-optimized Pm3AlCd structure.

Lattice parameters (Å, degrees): 5.333 5.338 10.386 90.00 75.12 90.00
Site moments in Bohr magnetons follow the coordinates.
Sites, in units of the cell vectors:
Pm (0.759, 0.250, 0.131)  0.12
Pm (0.386, 0.250, 0.876)  0.13
Pm (0.573, 0.250, 0.502)  0.04
Pm (0.262, 0.750, 0.124)  0.13
Pm (0.889, 0.750, 0.869)  0.12
Pm (0.075, 0.750, 0.498)  0.04
Al (0.480, 0.750, 0.688)  0.00
Al (0.168, 0.250, 0.312)  0.00
Cd (0.668, 0.750, 0.312)  0.00
Cd (0.980, 0.250, 0.688)  0.00

## Properties
calculated volume	285.74	Å³ per cell
formation energy	-1.223	eV/f.u.

---

DFT (PBE) results for a geometry-optimized SmCd2Sb structure.

Lattice parameters (Å, degrees): 5.115 4.476 4.476 90.00 90.00 90.00
Sites, in units of the cell vectors:
Sb (0.500, 0.500, 0.500)
Sm (0.500, 0.000, 0.000)
Cd (0.000, 0.000, 0.500)
Cd (0.000, 0.500, 0.000)

## Properties
calculated volume	102.47	Å³ per cell
raw formation energy	-0.497	eV/atom

---

DFT (PBE) results for a geometry-optimized MgCd2GeC structure.

Lattice parameters (Å, degrees): 5.763 3.584 5.763 90.00 90.00 90.00
Sites, in units of the cell vectors:
C (0.000, 0.500, 0.000)
Ge (0.000, 0.000, 0.000)
Mg (0.500, 0.500, 0.500)
Cd (0.000, 0.000, 0.500)
Cd (0.500, 0.000, 0.000)

## Properties
calculated volume	119.06	Å³ per cell
formation energy	5.019	eV/f.u.

---

DFT (PBE) results for a geometry-optimized ScBeRu2 structure.

Lattice parameters (Å, degrees): 4.471 4.471 4.785 70.33 70.33 39.31
Sites, in units of the cell vectors:
Sc (0.750, 0.750, 0.750)
Ru (0.973, 0.973, 0.046)
Ru (0.527, 0.527, 0.454)
Be (0.250, 0.250, 0.250)

## Properties
calculated volume	56.61	Å³ per cell
formation energy	-0.795	eV/f.u.

---

DFT (PBE) results for a geometry-optimized NdHoPdRh structure.

Lattice parameters (Å, degrees): 4.977 4.977 4.977 60.00 60.00 60.00
Sites, in units of the cell vectors:
Rh (0.500, 0.500, 0.500)
Nd (0.750, 0.750, 0.750)
Ho (0.250, 0.250, 0.250)
Pd (0.000, 0.000, 0.000)

## Properties
calculated volume	87.15	Å³ per cell
formation energy	-3.142	eV/f.u.

---

DFT (PBE) results for a geometry-optimized Ni3C structure.

Lattice parameters (Å, degrees): 4.297 4.263 2.601 72.24 90.00 120.26
Sites, in units of the cell vectors:
Ni (0.370, 0.000, 0.500)
Ni (0.058, 0.363, 0.318)
Ni (0.695, 0.637, 0.682)
C (0.043, 0.000, 0.000)

## Properties
calculated volume	38.49	Å³ per cell
formation energy	0.871	eV/f.u.

---

DFT (PBE) results for a geometry-optimized FeW structure.

Lattice parameters (Å, degrees): 2.745 2.745 8.581 90.00 90.00 120.00
Site moments in Bohr magnetons follow the coordinates.
Sites, in units of the cell vectors:
Fe (0.000, 0.000, 0.019)  1.78
Fe (0.333, 0.667, 0.231)  1.78
W (0.000, 0.000, 0.480)  -0.11
W (0.333, 0.667, 0.770)  -0.11

## Properties
calculated volume	55.98	Å³ per cell
formation energy	0.748	eV/f.u.

---

Question: The lowest calculated volume belongs to which entry?
Answer: Ni3C

---

Question: Which formula does entry 11 have?
Answer: Ni3C

---

Question: The highest calculated volume belongs to which entry?
Answer: Pm3Si2HgPt9

---

Question: Number 3 is which compound?
Answer: Zn6Ga8Hg